! Be2Si | Alexandria via LeMat-Bulk | meta-GGA SCAN | single point on PBEsol structure; values from VASP
! space group	Immm, No. 71
! DOS at the Fermi energy	0.9	states/eV per cell
! energy relative to the elements, uncorrected	0.273	eV/atom
! uncorrected energy	-5.968	eV per atom
&SYSTEM
  ibrav = 0, nat = 6, ntyp = 2
/
ATOMIC_SPECIES
Be 9.01 Be.upf
Si 28.09 Si.upf
CELL_PARAMETERS angstrom
-1.3126 2.3254 5.0589
1.3126 -2.3254 5.0589
1.3126 2.3254 -5.0589
ATOMIC_POSITIONS angstrom
Be 0.0000 0.0000 1.3626
Be 1.3126 1.1885 0.0000
Be 0.0000 1.1369 5.0589
Be 0.0000 0.0000 8.7551
Si 1.3126 0.0000 3.3676
Si 0.0000 2.3254 1.6913